Rb2W2O5: relaxed, PBE with a Hubbard U.

```
Rb2W2O5
1.0
-5.623 -7.177 1.461
1.135 -8.440 -3.570
4.576 6.682 4.436
O W Rb
10 4 4
Cartesian
-2.817 -9.935 -1.204
2.537 -5.178 1.119
3.010 0.967 3.547
-1.034 -8.302 0.657
-3.887 -7.422 0.210
4.047 4.576 4.035
1.165 -0.648 1.691
-0.464 -4.368 1.509
-0.553 -8.208 -2.327
-3.854 -13.544 -1.692
0.049 -0.015 0.007
-1.398 -3.868 -0.211
-2.195 -7.824 -1.047
1.058 -4.936 2.473
-1.064 -2.005 2.790
2.344 -2.622 0.110
-2.298 -6.300 2.210
1.110 -6.917 -0.470
```

## Properties
Theoretical density = 6.9 Mg/m³
Raw total energy = -6.158 eV/atom